No. 1
Entry from the Alexandria database: crystalline Sb2PdWI at its relaxed geometry (GGA-PBEsol).

a b c (Å): 4.9998 5.1831 5.1831
angles (deg): 90.00 90.00 90.00
Element x y z (fractional)
Pd: 0.5000 0.0000 0.0000
Sb: 0.0000 0.0000 0.5000
Sb: 0.0000 0.5000 0.0000
I: 0.5000 0.5000 0.5000
W: 0.0000 0.0000 0.0000

Values from the calculation:
Raw formation energy = 802 meV per atom
Total magnetic moment = 0.00 μB per formula unit
Energy = -5.327 eV/atom

No. 2
Entry from the Alexandria database: crystalline ZnSbPdI2 at its relaxed geometry (GGA-PBEsol).

a b c (Å): 5.0982 5.3706 5.3706
angles (deg): 90.00 90.00 90.00
Element x y z (fractional)
Zn: 0.0000 0.0000 0.0000
I: 0.0000 0.0000 0.5000
I: 0.0000 0.5000 0.0000
Sb: 0.5000 0.0000 0.0000
Pd: 0.5000 0.5000 0.5000

Values from the calculation:
Raw formation energy = 694 meV per atom
Total magnetic moment = 0.00 μB per formula unit
Energy = -2.432 eV/atom

No. 3
Entry from the Alexandria database: crystalline ZrSbPdI2 at its relaxed geometry (GGA-PBEsol).

a b c (Å): 5.5067 5.5067 5.5863
angles (deg): 90.00 90.00 90.00
Element x y z (fractional)
Zr: 0.0000 0.0000 0.0000
I: 0.0000 0.5000 0.0000
I: 0.5000 0.0000 0.0000
Pd: 0.5000 0.5000 0.5000
Sb: 0.0000 0.0000 0.5000

Values from the calculation:
Raw formation energy = 420 meV per atom
Total magnetic moment = 0.00 μB per formula unit
Energy = -4.208 eV/atom

No. 4
Entry from the Alexandria database: crystalline ScSi2PdI at its relaxed geometry (GGA-PBEsol).

a b c (Å): 4.7986 5.1503 5.1503
angles (deg): 90.00 90.00 90.00
Element x y z (fractional)
Pd: 0.5000 0.0000 0.0000
I: 0.5000 0.5000 0.5000
Sc: 0.0000 0.0000 0.0000
Si: 0.0000 0.5000 0.0000
Si: 0.0000 0.0000 0.5000

Values from the calculation:
Raw formation energy = 818 meV per atom
Total magnetic moment = 0.00 μB per formula unit
Energy = -4.347 eV/atom